Entry 1:
Below is a geometry-optimized TlP2H5O8 structure, with properties calculated at the PBE-GGA level.

```
TlP2H5O8
1.0
6.580 0.013 -0.032
1.831 6.320 -0.032
1.377 1.037 9.539
H O Tl P
10 16 2 4
Direct
0.461 0.909 0.678 H
0.698 0.302 0.750 H
0.091 0.539 0.822 H
0.629 0.698 0.026 H
0.371 0.302 0.974 H
0.698 0.629 0.526 H
0.539 0.091 0.322 H
0.909 0.461 0.178 H
0.302 0.698 0.250 H
0.302 0.371 0.474 H
0.725 0.653 0.171 O
0.269 0.421 0.572 O
0.672 0.960 0.323 O
0.784 0.376 0.825 O
0.216 0.624 0.175 O
0.347 0.275 0.329 O
0.653 0.725 0.671 O
0.040 0.328 0.177 O
0.960 0.672 0.823 O
0.731 0.579 0.428 O
0.376 0.784 0.325 O
0.624 0.216 0.675 O
0.275 0.347 0.829 O
0.328 0.040 0.677 O
0.579 0.731 0.928 O
0.421 0.269 0.072 O
0.000 0.000 0.500 Tl
0.000 0.000 0.000 Tl
0.257 0.379 0.191 P
0.621 0.743 0.309 P
0.743 0.621 0.809 P
0.379 0.257 0.691 P
```

SG = C2/c (15)
spin magnetization = 0.00 Bohr magnetons per cell
final energy = -189.6 eV for the cell shown

=====

Entry 2:
Below is a geometry-optimized TlP2HO structure, with properties calculated at the PBE-GGA level.

```
TlP2HO
1.0
5.295 0.000 0.000
0.000 5.295 0.000
0.000 0.000 4.300
P Tl O H
2 1 1 1
Direct
0.000 0.500 0.000 P
0.500 0.000 0.000 P
0.000 0.000 0.000 Tl
0.000 0.000 0.500 O
0.500 0.500 0.500 H
```

SG = P4/mmm (123)
ΔE to the lowest computed polymorph = 1167 meV per atom
spin magnetization = 2.90 Bohr magnetons per cell